# 1
Computed, not measured: a relaxed structure of RbAlFe3 at the GGA-PBEsol level of DFT.

Values from the calculation:
Total moment in μB per formula unit: 7.16
Space-group type: Pm-3m, No. 221
Density of states at the Fermi level in states/eV per cell: 6.17
ΔH_f (0 K) in meV/atom: 2540
Energy above the most stable polymorph in this dataset in eV/f.u.: 5.718

Cell: 4.5200 4.5200 4.5200 Å, 90.00 90.00 90.00°
With the nearest neighbours (Å) after each atom.
Atoms (fractional coordinates):
Fe 0.5000 0.0000 0.0000  2 Rb 2.26
Fe 0.0000 0.0000 0.5000  2 Rb 2.26
Rb 0.0000 0.0000 0.0000  6 Fe 2.26
Al 0.5000 0.5000 0.5000  12 Fe 3.20
Fe 0.0000 0.5000 0.0000  2 Rb 2.26

=====

# 2
Computed, not measured: a relaxed structure of YSc2Ag2 at the GGA-PBEsol level of DFT.

Values from the calculation:
Total moment in μB per formula unit: 0.00
Space-group type: P4/mbm, No. 127
Density of states at the Fermi level in states/eV per cell: 15.65
ΔH_f (0 K) in meV/atom: -187

Cell: 3.4609 7.9433 7.9433 Å, 90.00 90.00 90.00°
With the nearest neighbours (Å) after each atom.
Atoms (fractional coordinates):
Y 0.0000 0.5000 0.5000  4 Ag 3.13, 8 Sc 3.44, 2 Y 3.46
Sc 0.5000 0.3364 0.1636  6 Ag 2.90-2.91
Ag 0.0000 0.3724 0.8724  1 Ag 2.87, 6 Sc 2.90-2.91, 2 Y 3.13
Y 0.0000 0.0000 0.0000  4 Ag 3.13, 8 Sc 3.44, 2 Y 3.46
Sc 0.5000 0.8364 0.3364  6 Ag 2.90-2.91
Ag 0.0000 0.6276 0.1276  1 Ag 2.87, 6 Sc 2.90-2.91, 2 Y 3.13
Ag 0.0000 0.8724 0.6276  1 Ag 2.87, 6 Sc 2.90-2.91, 2 Y 3.13
Sc 0.5000 0.1636 0.6636  6 Ag 2.90-2.91
Ag 0.0000 0.1276 0.3724  1 Ag 2.87, 6 Sc 2.90-2.91, 2 Y 3.13
Sc 0.5000 0.6636 0.8364  6 Ag 2.90-2.91

=====

# 3
Computed, not measured: a relaxed structure of Te2MoAsI at the GGA-PBEsol level of DFT.

Values from the calculation:
Total moment in μB per formula unit: 4.03
Space-group type: P4/mmm, No. 123
Density of states at the Fermi level in states/eV per cell: 4.81
Raw formation energy in eV/atom: 1.183

Cell: 5.3988 5.3627 5.3627 Å, 90.00 90.00 90.00°
With the nearest neighbours (Å) after each atom.
Atoms (fractional coordinates):
Te 0.0000 0.0000 0.5000  2 As 2.68
As 0.0000 0.0000 0.0000  4 Te 2.68, 2 I 2.70
I 0.5000 0.0000 0.0000  2 As 2.70
Mo 0.5000 0.5000 0.5000  4 I 3.79, 8 Te 3.80
Te 0.0000 0.5000 0.0000  2 As 2.68

=====

# 4
Computed, not measured: a relaxed structure of Ca3Si at the GGA-PBEsol level of DFT.

Values from the calculation:
Total moment in μB per formula unit: 0.00
Space-group type: Cmmm, No. 65
Density of states at the Fermi level in states/eV per cell: 7.70
Raw formation energy in eV/atom: -0.274
Energy above the most stable polymorph in this dataset in eV/f.u.: 0.122

Cell: 4.7331 7.7481 11.0398 Å, 110.54 90.00 90.00°
With the nearest neighbours (Å) after each atom.
Atoms (fractional coordinates):
Si 0.5000 0.8992 0.7983  9 Ca 2.96-3.16
Ca 0.0000 0.8843 0.2744  3 Si 3.16-3.42, 1 Ca 3.45
Si 0.0000 0.5000 0.0000  4 Ca 2.88
Ca 0.0000 0.3901 0.2744  3 Si 3.16-3.42, 1 Ca 3.45
Ca 0.5000 0.7108 0.0000  4 Si 2.88-3.06
Ca 0.0000 0.1157 0.7256  3 Si 3.16-3.42, 1 Ca 3.45
Ca 0.0000 0.0000 0.0000  4 Si 3.15, 8 Ca 3.26-3.45
Ca 0.5000 0.2441 0.4883  1 Si 2.96
Si 0.5000 0.1008 0.2017  9 Ca 2.96-3.16
Ca 0.5000 0.2892 0.0000  4 Si 2.88-3.06
Ca 0.0000 0.6099 0.7256  3 Si 3.16-3.42, 1 Ca 3.45
Ca 0.5000 0.7559 0.5117  1 Si 2.96

=====

# 5
Computed, not measured: a relaxed structure of AgTeHN2 at the GGA-PBEsol level of DFT.

Values from the calculation:
Total moment in μB per formula unit: 1.08
Space-group type: P4/mmm, No. 123
Density of states at the Fermi level in states/eV per cell: 2.81
VASP energy in eV/atom: -3.604

Cell: 3.5565 4.0619 4.0619 Å, 90.00 90.00 90.00°
With the nearest neighbours (Å) after each atom.
Atoms (fractional coordinates):
Te 0.5000 0.0000 0.0000  2 H 1.78
N 0.0000 0.0000 0.5000  2 H 2.03
Ag 0.5000 0.5000 0.5000  8 N 2.70, 4 Te 2.87
N 0.0000 0.5000 0.0000  2 H 2.03
H 0.0000 0.0000 0.0000  2 Te 1.78

=====

# 6
Computed, not measured: a relaxed structure of BaMnPCl2 at the GGA-PBEsol level of DFT.

Values from the calculation:
Total moment in μB per formula unit: 3.98
Space-group type: P4/mmm, No. 123
Density of states at the Fermi level in states/eV per cell: 1.81
Raw formation energy in eV/atom: -1.041

Cell: 4.7273 4.9184 4.9184 Å, 90.00 90.00 90.00°
With the nearest neighbours (Å) after each atom.
Atoms (fractional coordinates):
Cl 0.0000 0.5000 0.0000  2 Mn 2.46
P 0.5000 0.0000 0.0000  2 Mn 2.36
Ba 0.5000 0.5000 0.5000  8 Cl 3.41, 4 P 3.48
Mn 0.0000 0.0000 0.0000  2 P 2.36, 4 Cl 2.46
Cl 0.0000 0.0000 0.5000  2 Mn 2.46

=====

# 7
Computed, not measured: a relaxed structure of Sr2AsP at the GGA-PBEsol level of DFT.

Values from the calculation:
Total moment in μB per formula unit: 0.00
Space-group type: R-3m, No. 166
Density of states at the Fermi level in states/eV per cell: 3.13
ΔH_f (0 K) in meV/atom: -767

Cell: 5.1104 5.1104 5.4704 Å, 62.15 62.15 60.00°
With the nearest neighbours (Å) after each atom.
Atoms (fractional coordinates):
Sr 0.7480 0.7480 0.7559  4 P 3.16-3.48, 4 As 3.18-3.43
Sr 0.2520 0.2520 0.2441  4 P 3.16-3.48, 4 As 3.18-3.43
As 0.5000 0.5000 0.5000  8 Sr 3.18-3.43
P 0.0000 0.0000 0.0000  8 Sr 3.16-3.48

=====

# 8
Computed, not measured: a relaxed structure of Zr6Fe7Si16 at the GGA-PBEsol level of DFT.

Values from the calculation:
Total moment in μB per formula unit: 0.00
Space-group type: Fm-3m, No. 225
Density of states at the Fermi level in states/eV per cell: 23.19
Raw formation energy in eV/atom: -0.707

Cell: 8.1202 8.1202 8.1202 Å, 60.00 60.00 60.00°
With the nearest neighbours (Å) after each atom.
Atoms (fractional coordinates):
Si 0.3351 0.9946 0.3351  3 Fe 2.34, 3 Si 2.58
Si 0.8806 0.8806 0.8806  4 Fe 2.38-2.53, 3 Si 2.58
Si 0.1194 0.1194 0.1194  4 Fe 2.38-2.53, 3 Si 2.58
Si 0.3351 0.3351 0.9946  3 Fe 2.34, 3 Si 2.58
Si 0.6649 0.0054 0.6649  3 Fe 2.34, 3 Si 2.58
Si 0.1194 0.6417 0.1194  4 Fe 2.38-2.53, 3 Si 2.58
Fe 0.5000 0.0000 0.0000  8 Si 2.34-2.53
Zr 0.3012 0.6988 0.6988  8 Si 2.71-2.85, 4 Fe 2.93
Fe 0.0000 0.5000 0.5000  8 Si 2.34-2.53
Si 0.8806 0.3583 0.8806  4 Fe 2.38-2.53, 3 Si 2.58
Zr 0.6988 0.3012 0.3012  8 Si 2.71-2.85, 4 Fe 2.93
Fe 0.5000 0.0000 0.5000  8 Si 2.34-2.53
Si 0.9946 0.3351 0.3351  3 Fe 2.34, 3 Si 2.58
Zr 0.6988 0.6988 0.3012  8 Si 2.71-2.85, 4 Fe 2.93
Fe 0.0000 0.0000 0.5000  8 Si 2.34-2.53
Fe 0.0000 0.5000 0.0000  8 Si 2.34-2.53
Si 0.1194 0.1194 0.6417  4 Fe 2.38-2.53, 3 Si 2.58
Fe 0.5000 0.5000 0.0000  8 Si 2.34-2.53
Si 0.0054 0.6649 0.6649  3 Fe 2.34, 3 Si 2.58
Zr 0.3012 0.6988 0.3012  8 Si 2.71-2.85, 4 Fe 2.93
Si 0.3583 0.8806 0.8806  4 Fe 2.38-2.53, 3 Si 2.58
Si 0.8806 0.8806 0.3583  4 Fe 2.38-2.53, 3 Si 2.58
Zr 0.6988 0.3012 0.6988  8 Si 2.71-2.85, 4 Fe 2.93
Zr 0.3012 0.3012 0.6988  8 Si 2.71-2.85, 4 Fe 2.93
Si 0.6649 0.6649 0.0054  3 Fe 2.34, 3 Si 2.58
Si 0.3351 0.3351 0.3351  3 Fe 2.34, 3 Si 2.58
Fe 0.0000 0.0000 0.0000  8 Si 2.38
Si 0.6649 0.6649 0.6649  3 Fe 2.34, 3 Si 2.58
Si 0.6417 0.1194 0.1194  4 Fe 2.38-2.53, 3 Si 2.58

=====

# 9
Computed, not measured: a relaxed structure of ZnBTeI2 at the GGA-PBEsol level of DFT.

Values from the calculation:
Total moment in μB per formula unit: 0.00
Space-group type: P4/mmm, No. 123
Density of states at the Fermi level in states/eV per cell: 2.68
Raw formation energy in eV/atom: 0.688

Cell: 4.8815 5.0033 5.0033 Å, 90.00 90.00 90.00°
With the nearest neighbours (Å) after each atom.
Atoms (fractional coordinates):
Te 0.5000 0.0000 0.0000  2 B 2.44
I 0.0000 0.0000 0.5000  2 B 2.50
I 0.0000 0.5000 0.0000  2 B 2.50
B 0.0000 0.0000 0.0000  2 Te 2.44, 4 I 2.50
Zn 0.5000 0.5000 0.5000  8 I 3.50, 4 Te 3.54

=====

# 10
Computed, not measured: a relaxed structure of ScTaIn at the GGA-PBEsol level of DFT.

Values from the calculation:
Total moment in μB per formula unit: 0.00
Space-group type: F-43m, No. 216
Density of states at the Fermi level in states/eV per cell: 3.24
ΔH_f (0 K) in meV/atom: 605

Cell: 4.6108 4.6108 4.6108 Å, 60.00 60.00 60.00°
With the nearest neighbours (Å) after each atom.
Atoms (fractional coordinates):
Sc 0.0000 0.0000 0.0000  4 In 2.82
Ta 0.5000 0.5000 0.5000  4 In 2.82
In 0.2500 0.2500 0.2500  4 Sc 2.82, 4 Ta 2.82

=====

# 11
Computed, not measured: a relaxed structure of Li3MnVP2O8F2 at the GGA-PBEsol level of DFT.

Values from the calculation:
Total moment in μB per formula unit: 7.00
Space-group type: P1, No. 1
Density of states at the Fermi level in states/eV per cell: 6.19
Raw formation energy in eV/atom: -2.320

Cell: 5.1943 5.2985 7.2892 Å, 106.89 107.65 97.08°
With the nearest neighbours (Å) after each atom.
Atoms (fractional coordinates):
O 0.8708 0.3380 0.1214  1 P 1.57
O 0.6385 0.7614 0.9237  1 P 1.56
Li 0.2422 0.5810 0.1451  1 F 1.89, 2 O 1.97-2.05
V 0.0003 0.9989 0.0000  4 O 1.95-2.05, 2 F 2.00
O 0.6632 0.6622 0.3392  1 P 1.55
O 0.2741 0.7824 0.6041  1 P 1.53
Mn 0.0052 0.0023 0.5004  4 O 2.04-2.12, 2 F 2.12-2.13
P 0.3388 0.6381 0.7608  4 O 1.53-1.57
F 0.8435 0.0782 0.7417  2 Li 1.89-1.99, 1 V 2.00
Li 0.7502 0.4098 0.8463  1 F 1.89, 3 O 1.99-2.07
Li 0.5044 0.9793 0.4933  2 F 1.98-1.99, 3 O 1.98-2.14
O 0.1285 0.6607 0.8772  1 P 1.57
O 0.3394 0.3378 0.6624  1 P 1.54
F 0.1599 0.9162 0.2570  2 Li 1.89-1.98, 1 V 2.00
P 0.6627 0.3613 0.2399  4 O 1.53-1.57
O 0.3624 0.2379 0.0777  1 P 1.56
O 0.7288 0.2156 0.3957  1 P 1.53